# 1
Computed, not measured: an optimized crystal structure of BeNbSb2Au at the PBE-GGA level of DFT.

Output
ΔE to the lowest computed polymorph   0.0 kJ per mole of atoms
Crystal system   tetragonal
Raw total energy   -22.468 eV/f.u.
Formation energy (no corrections)   0.570 eV/atom

Structure (POSCAR):
```
BeNbSb2Au
1.0
-4.050 2.200 -1.159
-0.776 -3.085 -3.142
-2.345 -2.645 3.176
Sb Nb Au Be
2 1 1 1
Direct
0.000 0.000 0.500
0.500 0.000 0.000
0.000 0.500 0.000
0.500 0.500 0.500
0.000 0.000 0.000
```

=====

# 2
Computed, not measured: an optimized crystal structure of BeNbSb2Au at the PBE-GGA level of DFT.

Output
ΔE to the lowest computed polymorph   30.3 kJ per mole of atoms
Crystal system   tetragonal
Raw total energy   -20.899 eV/f.u.
Formation energy (no corrections)   0.884 eV/atom

Structure (POSCAR):
```
BeNbSb2Au
1.0
5.393 0.000 0.000
0.000 4.151 0.000
0.000 0.000 5.393
Sb Nb Au Be
2 1 1 1
Direct
0.000 0.000 0.500
0.500 0.000 0.000
0.500 0.500 0.500
0.000 0.000 0.000
0.000 0.500 0.000
```

=====

# 3
Computed, not measured: an optimized crystal structure of Sc2BeNbAu at the PBE-GGA level of DFT.

Output
Crystal system   tetragonal
Energy relative to the elements   12.66 kcal/mol of atoms
Raw total energy   -26.992 eV/f.u.

Structure (POSCAR):
```
Sc2BeNbAu
1.0
-1.438 -2.036 4.481
1.333 -3.769 -1.285
4.645 0.982 1.937
Sc Be Nb Au
2 1 1 1
Direct
0.000 0.000 0.500
0.500 0.000 0.000
0.000 0.500 0.000
0.500 0.500 0.500
0.000 0.000 0.000
```

=====

# 4
Computed, not measured: an optimized crystal structure of BeNbTcAu2 at the PBE-GGA level of DFT.

Output
Crystal system   tetragonal
Energy relative to the elements   38.47 kcal/mol of atoms
Raw total energy   -22.375 eV/f.u.

Structure (POSCAR):
```
BeNbTcAu2
1.0
5.027 0.000 0.000
0.000 4.473 0.000
0.000 0.000 5.027
Be Nb Au Tc
1 1 2 1
Direct
0.000 0.500 0.000
0.000 0.000 0.000
0.000 0.000 0.500
0.500 0.000 0.000
0.500 0.500 0.500
```

=====

# 5
Computed, not measured: an optimized crystal structure of YBeNbAu2 at the PBE-GGA level of DFT.

Output
Crystal system   tetragonal
Energy relative to the elements   38.34 kcal/mol of atoms
Raw total energy   -18.501 eV/f.u.

Structure (POSCAR):
```
YBeNbAu2
1.0
-1.003 -1.390 4.992
0.832 -4.958 -1.213
5.112 0.568 1.186
Y Be Nb Au
1 1 1 2
Direct
0.000 0.000 0.000
0.500 0.500 0.500
0.000 0.500 0.000
0.000 0.000 0.500
0.500 0.000 0.000
```

=====

# 6
Computed, not measured: an optimized crystal structure of Nd2BeAu at the PBE-GGA level of DFT.

Output
Crystal system   tetragonal
Energy relative to the elements   -6.49 kcal/mol of atoms
Raw total energy   -17.664 eV/f.u.

Structure (POSCAR):
```
Nd2BeAu
1.0
-2.111 -2.368 1.838
2.976 -1.387 1.631
-0.693 4.707 5.267
Nd Au Be
2 1 1
Direct
0.000 0.000 0.764
0.000 0.000 0.236
0.500 0.500 0.500
0.500 0.500 0.000
```

=====

# 7
Computed, not measured: an optimized crystal structure of NdBeAu at the PBE-GGA level of DFT.

Output
ΔE to the lowest computed polymorph   0.2 kJ per mole of atoms
Crystal system   orthorhombic
Energy relative to the elements   -9.97 kcal/mol of atoms
Raw total energy   -13.068 eV/f.u.

Structure (POSCAR):
```
NdBeAu
1.0
-4.078 -0.843 0.498
-0.831 -0.233 -7.195
1.689 -8.128 0.068
Nd Au Be
4 4 4
Direct
0.250 0.750 0.500
0.750 0.250 0.000
0.250 0.750 0.000
0.750 0.250 0.500
0.750 0.918 0.250
0.750 0.582 0.750
0.250 0.082 0.750
0.250 0.418 0.250
0.750 0.584 0.250
0.750 0.916 0.750
0.250 0.084 0.250
0.250 0.416 0.750
```

=====

# 8
Computed, not measured: an optimized crystal structure of NdBeAu3 at the PBE-GGA level of DFT.

Output
ΔE to the lowest computed polymorph   7.6 kJ per mole of atoms
Crystal system   cubic
Energy relative to the elements   -10.77 kcal/mol of atoms
Raw total energy   -20.660 eV/f.u.

Structure (POSCAR):
```
NdBeAu3
1.0
4.628 0.000 0.000
0.000 4.628 0.000
0.000 0.000 4.628
Nd Au Be
1 3 1
Direct
0.500 0.500 0.500
0.000 0.500 0.000
0.000 0.000 0.500
0.500 0.000 0.000
0.000 0.000 0.000
```

=====

# 9
Computed, not measured: an optimized crystal structure of NdBeAu4 at the PBE-GGA level of DFT.

Output
ΔE to the lowest computed polymorph   0.0 kJ per mole of atoms
Crystal system   monoclinic
Energy relative to the elements   -10.69 kcal/mol of atoms
Raw total energy   -24.384 eV/f.u.

Structure (POSCAR):
```
NdBeAu4
1.0
5.636 0.065 1.971
2.138 5.215 1.971
-0.121 -0.082 7.868
Nd Be Au
2 2 8
Direct
0.791 0.791 0.800
0.209 0.209 0.200
0.537 0.537 0.197
0.463 0.463 0.803
0.746 0.746 0.232
0.146 0.661 0.408
0.237 0.763 0.000
0.339 0.854 0.592
0.254 0.254 0.768
0.854 0.339 0.592
0.763 0.237 0.000
0.661 0.146 0.408
```

=====

# 10
Computed, not measured: an optimized crystal structure of Nd2Be7Au12 at the PBE-GGA level of DFT.

Output
Crystal system   trigonal
Energy relative to the elements   -7.13 kcal/mol of atoms
Raw total energy   -81.436 eV/f.u.

Structure (POSCAR):
```
Nd2Be7Au12
1.0
-3.177 2.073 -1.588
3.577 -1.463 -9.067
-6.235 -6.531 3.951
Nd Be Au
2 7 12
Direct
0.248 0.333 0.667
0.752 0.667 0.333
0.500 0.000 0.000
0.252 0.891 0.286
0.252 0.395 0.109
0.252 0.714 0.605
0.748 0.109 0.714
0.748 0.605 0.891
0.748 0.286 0.395
0.250 0.620 0.076
0.250 0.456 0.380
0.250 0.924 0.544
0.750 0.380 0.924
0.750 0.544 0.620
0.750 0.076 0.456
0.246 0.119 0.258
0.246 0.139 0.881
0.246 0.742 0.861
0.754 0.881 0.742
0.754 0.861 0.119
0.754 0.258 0.139
```

=====

# 11
Computed, not measured: an optimized crystal structure of NdBe4Au12 at the PBE-GGA level of DFT.

Output
Crystal system   cubic
Energy relative to the elements   -2.81 kcal/mol of atoms
Raw total energy   -61.072 eV/f.u.

Structure (POSCAR):
```
NdBe4Au12
1.0
-3.693 6.125 1.717
-3.533 -3.568 -5.376
0.457 -4.330 5.929
Nd Be Au
1 4 12
Direct
0.000 0.000 0.000
0.000 0.500 0.000
0.500 0.000 0.000
0.500 0.500 0.500
0.000 0.000 0.500
0.829 0.333 0.162
0.333 0.505 0.171
0.838 0.171 0.667
0.333 0.162 0.829
0.162 0.829 0.333
0.667 0.495 0.829
0.505 0.171 0.333
0.495 0.829 0.667
0.667 0.838 0.171
0.829 0.667 0.495
0.171 0.333 0.505
0.171 0.667 0.838
```

=====

# 12
Computed, not measured: an optimized crystal structure of NdBe2Au10 at the PBE-GGA level of DFT.

Output
Crystal system   orthorhombic
Energy relative to the elements   -5.64 kcal/mol of atoms
Raw total energy   -48.175 eV/f.u.

Structure (POSCAR):
```
NdBe2Au10
1.0
-4.898 -1.606 -1.823
0.670 -4.756 -5.806
-2.343 -5.600 3.029
Nd Be Au
1 2 10
Direct
0.000 0.000 0.000
0.000 0.500 0.000
0.500 0.500 0.000
0.325 0.650 0.700
0.675 0.350 0.300
0.975 0.350 0.700
0.025 0.650 0.300
0.000 0.000 0.500
0.500 0.000 0.500
0.265 0.250 0.220
0.735 0.750 0.780
0.515 0.750 0.220
0.485 0.250 0.780
```